Ce2PbBr | the Alexandria database | PBE | relaxed; SG = No. 225; E_form (uncorrected) = -0.67 eV per atom; polymorph energy (0 for the lowest one) = 89 meV per atom
1.0
5.457 0.000 0.000
2.728 4.726 0.000
2.728 1.575 4.456
Ce Pb Br
2 1 1
Direct
0.250 0.250 0.250
0.750 0.750 0.750
0.000 0.000 0.000
0.500 0.500 0.500